DFT (PBE) results for Th2Ga3Cu4Hg after structural relaxation.

Cell: 4.3025 4.3025 10.1316 Å, 90.00 90.00 90.00°
Positions (direct):
Th (0.0000, 0.5000, 0.2338)
Th (0.5000, 0.0000, 0.7662)
Ga (0.0000, 0.5000, 0.8778)
Ga (0.5000, 0.0000, 0.1222)
Ga (0.5000, 0.5000, 0.5000)
Cu (0.0000, 0.0000, 0.0000)
Cu (0.0000, 0.5000, 0.6443)
Cu (0.5000, 0.0000, 0.3557)
Cu (0.5000, 0.5000, 0.0000)
Hg (0.0000, 0.0000, 0.5000)

Values from the calculation:
Total magnetic moment: 0.00 μB per cell
E_tot: -4.39 eV per atom
Formation energy: -331.0 meV per atom
Space-group type: P-4m2 (115)

=====

DFT (PBE) results for Ac2LaSn2Pd7 after structural relaxation.

Cell: 4.3573 4.3573 14.6768 Å, 95.29 95.29 89.18°
Positions (direct):
Ac (0.1072, 0.1072, 0.3630)
Ac (0.8928, 0.8928, 0.6370)
La (0.0000, 0.0000, 0.0000)
Sn (0.4239, 0.4239, 0.7557)
Sn (0.5761, 0.5761, 0.2443)
Pd (0.0445, 0.5434, 0.1417)
Pd (0.3798, 0.3798, 0.5704)
Pd (0.4566, 0.9555, 0.8583)
Pd (0.5000, 0.5000, 0.0000)
Pd (0.5434, 0.0445, 0.1417)
Pd (0.6202, 0.6202, 0.4296)
Pd (0.9555, 0.4566, 0.8583)

Values from the calculation:
Total magnetic moment: 0.00 μB per cell
E_tot: -5.53 eV per atom
Formation energy: -740.3 meV per atom
Space-group type: C2/m (12)

=====

DFT (PBE) results for V2CuOs after structural relaxation.

Cell: 5.4306 5.4306 5.4306 Å, 102.91 102.91 123.58°
Positions (direct):
V (0.1080, 0.6250, 0.9830)
V (0.3750, 0.3580, 0.4830)
V (0.6420, 0.1250, 0.0170)
V (0.8750, 0.8920, 0.5170)
Cu (0.2500, 0.7500, 0.5000)
Cu (0.5000, 0.5000, 0.0000)
Os (0.0000, 0.0000, 0.0000)
Os (0.7500, 0.2500, 0.5000)

Values from the calculation:
Total magnetic moment: 0.00 μB per cell
E_tot: -7.90 eV per atom
Formation energy: 489.5 meV per atom
Space-group type: I-42d (122)

=====

DFT (PBE) results for YHgSe2Br after structural relaxation.

Cell: 5.2682 5.2682 5.3166 Å, 90.00 90.00 90.00°
Positions (direct):
Y (0.0000, 0.0000, 0.0000)
Hg (0.5000, 0.5000, 0.5000)
Se (0.0000, 0.5000, 0.5000)
Se (0.5000, 0.0000, 0.5000)
Br (0.5000, 0.5000, 0.0000)

Values from the calculation:
Total magnetic moment: 0.00 μB per cell
Formation energy from raw total energies: -188 meV/atom
E_tot: -3.27 eV per atom
Space-group type: P4/mmm (123)
Energy above the most stable polymorph in this dataset: 476.3 meV/atom

=====

DFT (PBE) results for Zr5ScRu6 after structural relaxation.

Cell: 7.3132 7.3132 6.5320 Å, 90.00 90.00 143.21°
Positions (direct):
Zr (0.0000, 0.0000, 0.0000)
Zr (0.3338, 0.6662, 0.0000)
Zr (0.3352, 0.6648, 0.5000)
Zr (0.6648, 0.3352, 0.5000)
Zr (0.6662, 0.3338, 0.0000)
Sc (0.0000, 0.0000, 0.5000)
Ru (0.1673, 0.8327, 0.2499)
Ru (0.1673, 0.8327, 0.7501)
Ru (0.5000, 0.5000, 0.2487)
Ru (0.5000, 0.5000, 0.7513)
Ru (0.8327, 0.1673, 0.2499)
Ru (0.8327, 0.1673, 0.7501)

Values from the calculation:
Total magnetic moment: 0.00 μB per cell
E_tot: -9.39 eV per atom
Formation energy: -663.6 meV per atom
Space-group type: Cmmm (65)

=====

DFT (PBE) results for Pa3GaNi2 after structural relaxation.

Cell: 6.7502 6.7502 6.7502 Å, 68.62 68.62 68.62°
Positions (direct):
Pa (0.0608, 0.7500, 0.4392)
Pa (0.2500, 0.5608, 0.9392)
Pa (0.4392, 0.0608, 0.7500)
Pa (0.5608, 0.9392, 0.2500)
Pa (0.7500, 0.4392, 0.0608)
Pa (0.9392, 0.2500, 0.5608)
Ga (0.0000, 0.0000, 0.0000)
Ga (0.5000, 0.5000, 0.5000)
Ni (0.1632, 0.1632, 0.1632)
Ni (0.3368, 0.3368, 0.3368)
Ni (0.6632, 0.6632, 0.6632)
Ni (0.8368, 0.8368, 0.8368)

Values from the calculation:
Total magnetic moment: 0.00 μB per cell
E_tot: -7.22 eV per atom
Formation energy: -44.1 meV per atom
Space-group type: R-3c (167)

=====

Q: What is the E_tot in the fourth record?
A: -3.27 eV per atom